The following is a PBE+U calculation of a geometry-optimized ZnMoHF2 structure, from Alexandria via LeMat-Bulk.

CIF file:
```
data_ZnMoHF2
_symmetry_space_group_name_H-M 'P 4/m m m'
_symmetry_Int_Tables_number 123
_symmetry_space_group_name_Hall '-P 4 2'
_cell_length_a 3.763
_cell_length_b 3.763
_cell_length_c 6.680
_cell_angle_alpha 90.00
_cell_angle_beta 90.00
_cell_angle_gamma 90.00
loop_
_atom_site_label
_atom_site_fract_x
_atom_site_fract_y
_atom_site_fract_z
Zn1 0.000 0.000 0.000
Mo1 0.000 0.000 0.500
H1 0.500 0.500 0.500
F1 0.000 0.500 0.000
```

Output
For the total energy, the calculation gives -3.5922 eV/atom. The density of states at the Fermi level is 0.32 states/eV/f.u.